# 1
VASP calculation (PBE) on CaCrFe2 after structural relaxation.

**E_tot**: -6.32 eV/atom
**Energy of formation**: 0.82 eV per atom
**Space-group type**: No. 123

a = 4.211 Å, b = 3.991 Å, c = 3.991 Å
α = 90.00°, β = 90.00°, γ = 90.00°
Last column: magnetic moment on the atom in μB.
Atoms (fractional coordinates):
Cr: 0.500 0.000 0.500  3.25
Ca: 0.500 0.500 0.000  0.00
Fe: 0.000 0.000 0.000  2.71
Fe: 0.000 0.500 0.500  2.71

---

# 2
VASP calculation (PBE) on CaCr2Fe after structural relaxation.

**E_tot**: -6.65 eV/atom
**Energy of formation**: 0.77 eV per atom
**Space-group type**: No. 123

a = 2.668 Å, b = 2.668 Å, c = 8.268 Å
α = 90.00°, β = 90.00°, γ = 90.00°
Atoms (fractional coordinates):
Cr: 0.000 0.000 0.062
Cr: 0.000 0.000 0.438
Ca: 0.500 0.500 0.750
Fe: 0.500 0.500 0.250

---

# 3
VASP calculation (PBE) on CaCrFe after structural relaxation.

**E_tot**: -5.12 eV/atom
**Energy of formation**: 1.58 eV per atom
**Space-group type**: No. 216

a = 4.711 Å, b = 4.711 Å, c = 4.711 Å
α = 60.00°, β = 60.00°, γ = 60.00°
Last column: magnetic moment on the atom in μB.
Atoms (fractional coordinates):
Cr: 0.000 0.000 0.000  3.79
Ca: 0.750 0.750 0.750  0.04
Fe: 0.500 0.500 0.500  2.74

---

# 4
VASP calculation (PBE) on Ca2CrFe after structural relaxation.

**E_tot**: -5.04 eV/atom
**Energy of formation**: 0.48 eV per atom
**Space-group type**: No. 6

a = 3.774 Å, b = 4.843 Å, c = 6.042 Å
α = 66.24°, β = 90.00°, γ = 90.00°
Last column: magnetic moment on the atom in μB.
Atoms (fractional coordinates):
Cr: 0.000 0.677 0.520  2.99
Ca: 0.000 0.986 0.903  0.03
Ca: 0.500 0.268 0.339  0.05
Fe: 0.500 0.569 0.738  -1.91

---

# 5
VASP calculation (PBE) on CaCr3Fe after structural relaxation.

**E_tot**: -7.01 eV/atom
**Energy of formation**: 0.86 eV per atom
**Space-group type**: No. 221

a = 4.535 Å, b = 4.535 Å, c = 4.535 Å
α = 90.00°, β = 90.00°, γ = 90.00°
Last column: magnetic moment on the atom in μB.
Atoms (fractional coordinates):
Cr: 0.000 0.500 0.000  2.85
Cr: 0.000 0.000 0.500  2.69
Cr: 0.500 0.000 0.000  2.85
Ca: 0.500 0.500 0.500  0.01
Fe: 0.000 0.000 0.000  -1.19

---

# 6
VASP calculation (PBE) on CaCrFe3 after structural relaxation.

**E_tot**: -5.03 eV/atom
**Energy of formation**: 2.38 eV per atom
**Space-group type**: No. 221

a = 4.425 Å, b = 4.425 Å, c = 4.425 Å
α = 90.00°, β = 90.00°, γ = 90.00°
Last column: magnetic moment on the atom in μB.
Atoms (fractional coordinates):
Cr: 0.500 0.500 0.500  0.01
Ca: 0.000 0.000 0.000  -0.18
Fe: 0.000 0.500 0.000  2.62
Fe: 0.000 0.000 0.500  2.40
Fe: 0.500 0.000 0.000  2.85

---

# 7
VASP calculation (PBE) on CaCrFe3 after structural relaxation.

**E_tot**: -6.63 eV/atom
**Energy of formation**: 0.77 eV per atom
**Space-group type**: No. 221

a = 4.375 Å, b = 4.375 Å, c = 4.375 Å
α = 90.00°, β = 90.00°, γ = 90.00°
Last column: magnetic moment on the atom in μB.
Atoms (fractional coordinates):
Cr: 0.000 0.000 0.000  -0.90
Ca: 0.500 0.500 0.500  -0.04
Fe: 0.000 0.500 0.000  2.12
Fe: 0.000 0.000 0.500  2.25
Fe: 0.500 0.000 0.000  1.57

---

# 8
VASP calculation (PBE) on CaCr2Fe after structural relaxation.

**E_tot**: -6.50 eV/atom
**Energy of formation**: 0.93 eV per atom
**Space-group type**: No. 166

a = 9.180 Å, b = 9.180 Å, c = 9.180 Å
α = 17.40°, β = 17.40°, γ = 17.40°
Last column: magnetic moment on the atom in μB.
Atoms (fractional coordinates):
Cr: 0.986 0.986 0.986  -1.40
Cr: 0.514 0.514 0.514  -1.40
Ca: 0.750 0.750 0.750  0.06
Fe: 0.250 0.250 0.250  1.91

---

# 9
VASP calculation (PBE) on CaCrFe2 after structural relaxation.

**E_tot**: -6.41 eV/atom
**Energy of formation**: 0.72 eV per atom
**Space-group type**: No. 44

a = 5.447 Å, b = 5.447 Å, c = 5.447 Å
α = 148.09°, β = 127.65°, γ = 62.63°
Last column: magnetic moment on the atom in μB.
Atoms (fractional coordinates):
Cr: 0.221 0.721 0.500  3.09
Ca: 0.514 0.514 0.000  -0.07
Fe: 0.976 0.976 0.000  2.18
Fe: 0.789 0.289 0.500  2.42

---

# 10
VASP calculation (PBE) on CaCr2Fe after structural relaxation.

**E_tot**: -6.73 eV/atom
**Energy of formation**: 0.70 eV per atom
**Space-group type**: No. 216

a = 4.553 Å, b = 4.553 Å, c = 4.553 Å
α = 60.00°, β = 60.00°, γ = 60.00°
Last column: magnetic moment on the atom in μB.
Atoms (fractional coordinates):
Cr: 0.000 0.000 0.000  -2.97
Cr: 0.250 0.250 0.250  3.14
Ca: 0.500 0.500 0.500  0.05
Fe: 0.750 0.750 0.750  2.45

---

# 11
VASP calculation (PBE) on CaCr2Fe after structural relaxation.

**E_tot**: -6.81 eV/atom
**Energy of formation**: 0.61 eV per atom
**Space-group type**: No. 12

a = 4.682 Å, b = 4.682 Å, c = 5.244 Å
α = 77.27°, β = 77.27°, γ = 37.21°
Last column: magnetic moment on the atom in μB.
Atoms (fractional coordinates):
Cr: 0.038 0.038 0.873  -0.07
Cr: 0.462 0.462 0.627  -0.07
Ca: 0.250 0.250 0.250  -0.04
Fe: 0.750 0.750 0.750  1.42

---

# 12
VASP calculation (PBE) on CaCr2Fe after structural relaxation.

**E_tot**: -6.35 eV/atom
**Energy of formation**: 1.08 eV per atom
**Space-group type**: No. 65

a = 4.945 Å, b = 4.945 Å, c = 2.805 Å
α = 90.00°, β = 90.00°, γ = 111.27°
Last column: magnetic moment on the atom in μB.
Atoms (fractional coordinates):
Cr: 0.000 0.000 0.000  2.36
Cr: 0.500 0.500 0.000  2.36
Ca: 0.000 0.500 0.500  -0.01
Fe: 0.500 0.000 0.500  2.20

---

# 13
VASP calculation (PBE) on CaCrFe after structural relaxation.

**E_tot**: -6.20 eV/atom
**Energy of formation**: 0.50 eV per atom
**Space-group type**: No. 107

a = 5.971 Å, b = 5.971 Å, c = 5.971 Å
α = 149.54°, β = 149.54°, γ = 43.61°
Last column: magnetic moment on the atom in μB.
Atoms (fractional coordinates):
Cr: 0.284 0.284 0.000  2.16
Ca: 0.004 0.004 0.000  0.03
Fe: 0.711 0.711 0.000  -1.65

---

# 14
VASP calculation (PBE) on CaCrFe4 after structural relaxation.

**E_tot**: -7.30 eV/atom
**Energy of formation**: 0.28 eV per atom
**Space-group type**: No. 216

a = 4.971 Å, b = 4.971 Å, c = 4.971 Å
α = 60.00°, β = 60.00°, γ = 60.00°
Last column: magnetic moment on the atom in μB.
Atoms (fractional coordinates):
Ca: 0.750 0.750 0.750  -0.08
Cr: 0.000 0.000 0.000  -3.30
Fe: 0.876 0.375 0.375  2.26
Fe: 0.375 0.375 0.876  2.26
Fe: 0.375 0.876 0.375  2.26
Fe: 0.375 0.375 0.375  2.26

---

# 15
VASP calculation (PBE) on CaCr2Fe after structural relaxation.

**E_tot**: -6.39 eV/atom
**Energy of formation**: 1.04 eV per atom
**Space-group type**: No. 225

a = 4.277 Å, b = 4.277 Å, c = 4.277 Å
α = 60.00°, β = 60.00°, γ = 60.00°
Atoms (fractional coordinates):
Cr: 0.250 0.250 0.250
Cr: 0.750 0.750 0.750
Ca: 0.000 0.000 0.000
Fe: 0.500 0.500 0.500

---

# 16
VASP calculation (PBE) on CaCrFe2 after structural relaxation.

**E_tot**: -6.65 eV/atom
**Energy of formation**: 0.49 eV per atom
**Space-group type**: No. 99

a = 3.105 Å, b = 3.105 Å, c = 7.007 Å
α = 90.00°, β = 90.00°, γ = 90.00°
Last column: magnetic moment on the atom in μB.
Atoms (fractional coordinates):
Cr: 0.500 0.500 0.839  -2.22
Ca: 0.000 0.000 0.490  -0.04
Fe: 0.000 0.000 0.999  2.14
Fe: 0.500 0.500 0.172  2.50

---

# 17
VASP calculation (PBE) on CaCr2Fe after structural relaxation.

**E_tot**: -6.96 eV/atom
**Energy of formation**: 0.47 eV per atom
**Space-group type**: No. 99

a = 2.995 Å, b = 2.995 Å, c = 7.313 Å
α = 90.00°, β = 90.00°, γ = 90.00°
Last column: magnetic moment on the atom in μB.
Atoms (fractional coordinates):
Cr: 0.000 0.000 0.074  2.74
Cr: 0.500 0.500 0.257  -1.52
Ca: 0.500 0.500 0.734  -0.03
Fe: 0.000 0.000 0.435  2.11

---

# 18
VASP calculation (PBE) on CaCr2Fe after structural relaxation.

**E_tot**: -6.64 eV/atom
**Energy of formation**: 0.79 eV per atom
**Space-group type**: No. 71

a = 5.412 Å, b = 5.412 Å, c = 5.412 Å
α = 150.10°, β = 128.35°, γ = 60.83°
Last column: magnetic moment on the atom in μB.
Atoms (fractional coordinates):
Cr: 0.958 0.958 0.000  1.42
Cr: 0.542 0.542 0.000  1.42
Ca: 0.250 0.750 0.500  0.01
Fe: 0.750 0.250 0.500  -1.12

---

# 19
VASP calculation (PBE) on CaCrFe after structural relaxation.

**E_tot**: -5.81 eV/atom
**Energy of formation**: 0.88 eV per atom
**Space-group type**: No. 216

a = 4.483 Å, b = 4.483 Å, c = 4.483 Å
α = 60.00°, β = 60.00°, γ = 60.00°
Last column: magnetic moment on the atom in μB.
Atoms (fractional coordinates):
Cr: 0.500 0.500 0.500  3.50
Ca: 0.000 0.000 0.000  0.04
Fe: 0.750 0.750 0.750  -2.29

---

# 20
VASP calculation (PBE) on Ca2CrFe after structural relaxation.

**E_tot**: -4.73 eV/atom
**Energy of formation**: 0.79 eV per atom
**Space-group type**: No. 216

a = 5.101 Å, b = 5.101 Å, c = 5.101 Å
α = 60.00°, β = 60.00°, γ = 60.00°
Last column: magnetic moment on the atom in μB.
Atoms (fractional coordinates):
Cr: 0.500 0.500 0.500  3.73
Ca: 0.000 0.000 0.000  -0.05
Ca: 0.250 0.250 0.250  -0.01
Fe: 0.750 0.750 0.750  2.87

---

# 21
VASP calculation (PBE) on CaCrFe2 after structural relaxation.

**E_tot**: -6.76 eV/atom
**Energy of formation**: 0.38 eV per atom
**Space-group type**: No. 12

a = 4.040 Å, b = 4.040 Å, c = 5.698 Å
α = 69.17°, β = 69.17°, γ = 60.17°
Last column: magnetic moment on the atom in μB.
Atoms (fractional coordinates):
Cr: 0.250 0.250 0.250  -1.82
Ca: 0.750 0.750 0.750  -0.02
Fe: 0.946 0.946 0.162  2.13
Fe: 0.554 0.554 0.338  2.13

---

# 22
VASP calculation (PBE) on Ca2CrFe2 after structural relaxation.

**E_tot**: -5.07 eV/atom
**Energy of formation**: 1.04 eV per atom
**Space-group type**: No. 127

a = 8.161 Å, b = 8.161 Å, c = 3.232 Å
α = 90.00°, β = 90.00°, γ = 90.00°
Last column: magnetic moment on the atom in μB.
Atoms (fractional coordinates):
Cr: 0.000 0.000 0.000  -3.91
Cr: 0.500 0.500 0.000  -3.91
Ca: 0.358 0.858 0.000  -0.10
Ca: 0.858 0.642 0.000  -0.10
Ca: 0.642 0.142 0.000  -0.10
Ca: 0.142 0.358 0.000  -0.10
Fe: 0.159 0.659 0.500  2.61
Fe: 0.659 0.841 0.500  2.63
Fe: 0.841 0.341 0.500  2.61
Fe: 0.341 0.159 0.500  2.63

---

# 23
VASP calculation (PBE) on CaCrFe2 after structural relaxation.

**E_tot**: -6.41 eV/atom
**Energy of formation**: 0.73 eV per atom
**Space-group type**: No. 166

a = 8.424 Å, b = 8.424 Å, c = 8.424 Å
α = 20.09°, β = 20.09°, γ = 20.09°
Last column: magnetic moment on the atom in μB.
Atoms (fractional coordinates):
Cr: 0.750 0.750 0.750  -1.06
Ca: 0.250 0.250 0.250  -0.13
Fe: 0.016 0.016 0.016  1.92
Fe: 0.484 0.484 0.484  1.92

---

# 24
VASP calculation (PBE) on CaCr2Fe after structural relaxation.

**E_tot**: -6.36 eV/atom
**Energy of formation**: 1.07 eV per atom
**Space-group type**: No. 141

a = 4.418 Å, b = 4.418 Å, c = 8.467 Å
α = 74.88°, β = 74.88°, γ = 90.00°
Atoms (fractional coordinates):
Cr: 0.875 0.125 0.250
Cr: 0.875 0.625 0.250
Cr: 0.375 0.125 0.750
Cr: 0.875 0.125 0.750
Ca: 0.500 0.500 0.000
Ca: 0.250 0.750 0.500
Fe: 0.000 0.000 0.000
Fe: 0.750 0.250 0.500

---

# 25
VASP calculation (PBE) on CaCrFe2 after structural relaxation.

**E_tot**: -6.44 eV/atom
**Energy of formation**: 0.70 eV per atom
**Space-group type**: No. 216

a = 4.483 Å, b = 4.483 Å, c = 4.483 Å
α = 60.00°, β = 60.00°, γ = 60.00°
Last column: magnetic moment on the atom in μB.
Atoms (fractional coordinates):
Cr: 0.250 0.250 0.250  -3.24
Ca: 0.500 0.500 0.500  -0.12
Fe: 0.000 0.000 0.000  2.54
Fe: 0.750 0.750 0.750  2.37

---

# 26
VASP calculation (PBE) on CaCrFe after structural relaxation.

**E_tot**: -6.16 eV/atom
**Energy of formation**: 0.54 eV per atom
**Space-group type**: No. 187

a = 3.791 Å, b = 3.791 Å, c = 4.885 Å
α = 90.00°, β = 90.00°, γ = 120.00°
Last column: magnetic moment on the atom in μB.
Atoms (fractional coordinates):
Cr: 0.667 0.333 0.500  2.17
Ca: 0.000 0.000 0.000  0.02
Fe: 0.333 0.667 0.500  -1.28

---

# 27
VASP calculation (PBE) on CaCr2Fe after structural relaxation.

**E_tot**: -6.69 eV/atom
**Energy of formation**: 0.74 eV per atom
**Space-group type**: No. 44

a = 5.325 Å, b = 5.325 Å, c = 5.325 Å
α = 145.85°, β = 124.89°, γ = 66.45°
Last column: magnetic moment on the atom in μB.
Atoms (fractional coordinates):
Cr: 0.966 0.966 0.000  3.08
Cr: 0.739 0.239 0.500  -2.54
Ca: 0.258 0.758 0.500  -0.05
Fe: 0.538 0.538 0.000  2.19

---

# 28
VASP calculation (PBE) on Ca2CrFe2 after structural relaxation.

**E_tot**: -5.21 eV/atom
**Energy of formation**: 0.90 eV per atom
**Space-group type**: No. 139

a = 3.246 Å, b = 3.246 Å, c = 10.019 Å
α = 80.68°, β = 80.68°, γ = 90.00°
Last column: magnetic moment on the atom in μB.
Atoms (fractional coordinates):
Cr: 0.000 0.000 0.000  0.30
Ca: 0.389 0.389 0.222  -0.03
Ca: 0.611 0.611 0.778  -0.03
Fe: 0.750 0.250 0.500  2.37
Fe: 0.250 0.750 0.500  2.37

---

# 29
VASP calculation (PBE) on CaCrFe2 after structural relaxation.

**E_tot**: -6.72 eV/atom
**Energy of formation**: 0.42 eV per atom
**Space-group type**: No. 123

a = 2.961 Å, b = 2.961 Å, c = 6.950 Å
α = 90.00°, β = 90.00°, γ = 89.97°
Last column: magnetic moment on the atom in μB.
Atoms (fractional coordinates):
Cr: 0.500 0.500 0.750  -1.04
Ca: 0.500 0.500 0.250  -0.08
Fe: 0.000 0.000 0.926  1.60
Fe: 0.000 0.000 0.574  1.60

---

# 30
VASP calculation (PBE) on Ca3CrFe after structural relaxation.

**E_tot**: -4.09 eV/atom
**Energy of formation**: 0.72 eV per atom
**Space-group type**: No. 221

a = 5.401 Å, b = 5.401 Å, c = 5.401 Å
α = 90.00°, β = 90.00°, γ = 90.00°
Last column: magnetic moment on the atom in μB.
Atoms (fractional coordinates):
Cr: 0.500 0.500 0.500  4.14
Ca: 0.000 0.500 0.000  -0.05
Ca: 0.000 0.000 0.500  -0.07
Ca: 0.500 0.000 0.000  -0.03
Fe: 0.000 0.000 0.000  2.07